# 1
RbV2SbO8 | the Alexandria database | PBE+U | optimized geometry; total energy = -6.75 eV per atom
1.0
5.435 0.000 0.000
-2.717 4.707 0.000
0.000 0.000 8.199
Rb V Sb O
1 2 1 8
direct
0.000 0.000 0.000
0.667 0.333 0.291
0.333 0.667 0.709
0.000 0.000 0.500
0.333 0.667 0.910
0.321 0.253 0.355
0.747 0.069 0.355
0.667 0.333 0.090
0.253 0.931 0.645
0.679 0.747 0.645
0.069 0.321 0.645
0.931 0.679 0.355


# 2
Rb2VSbO6 | the Alexandria database | PBE+U | optimized geometry; total energy = -5.84 eV per atom
1.0
-0.333 -1.012 5.553
3.002 -4.742 -0.684
6.759 4.112 1.154
Rb V Sb O
4 2 2 12
direct
0.500 0.750 0.250
0.000 0.250 0.750
0.500 0.750 0.750
0.000 0.250 0.250
0.000 0.750 0.500
0.500 0.250 0.000
0.500 0.250 0.500
0.000 0.750 0.000
0.500 0.250 0.244
0.500 0.250 0.756
0.000 0.750 0.256
0.000 0.750 0.744
0.244 0.994 0.500
0.756 0.994 0.500
0.244 0.506 0.500
0.756 0.506 0.500
0.744 0.494 0.000
0.256 0.494 0.000
0.256 0.006 0.000
0.744 0.006 0.000